{
  "formula": "ReWSe2",
  "functional": "PBE-GGA",
  "state": "optimized geometry",
  "lattice": [[9.899, 0.007, 0.004], [9.418, 3.047, 0.004], [9.418, 1.489, 2.658]],
  "species": ["Se", "Se", "W", "Re"],
  "fractional_positions": [[0.026, 0.026, 0.026], [0.225, 0.225, 0.225], [0.497, 0.497, 0.497], [0.752, 0.752, 0.752]],
  "space_group": "R3m (160)",
  "raw_formation_energy_ev_per_atom": 0.008,
  "dos_at_fermi_per_ev_atom": 0.635
}

{
  "formula": "RbAuS3",
  "functional": "PBE-GGA",
  "state": "optimized geometry",
  "lattice": [[-0.163, -3.510, -3.781], [7.155, -5.767, 5.044], [-8.158, -4.234, 6.731]],
  "species": ["Au", "Au", "Au", "Au", "S", "S", "S", "S", "S", "S", "S", "S", "S", "S", "S", "S", "Rb", "Rb", "Rb", "Rb"],
  "fractional_positions": [[0.504, 0.009, 0.830], [0.496, 0.991, 0.170], [0.996, 0.509, 0.670], [0.004, 0.491, 0.330], [0.215, 0.017, 0.982], [0.809, 0.089, 0.699], [0.285, 0.517, 0.518], [0.715, 0.483, 0.482], [0.309, 0.411, 0.199], [0.151, 0.001, 0.668], [0.651, 0.499, 0.168], [0.785, 0.983, 0.018], [0.691, 0.589, 0.801], [0.349, 0.501, 0.832], [0.191, 0.911, 0.301], [0.849, 0.999, 0.332], [0.124, 0.701, 0.046], [0.876, 0.299, 0.954], [0.376, 0.201, 0.454], [0.624, 0.799, 0.546]],
  "space_group": "P2_1/c (14)",
  "raw_formation_energy_ev_per_atom": -0.396
}

{
  "formula": "NaGaCo2As",
  "functional": "PBE-GGA",
  "state": "optimized geometry",
  "lattice": [[4.557, 0.000, 0.000], [0.000, 4.713, 0.000], [0.000, 0.000, 4.557]],
  "species": ["Na", "Co", "Co", "As", "Ga"],
  "fractional_positions": [[0.000, 0.000, 0.000], [0.000, 0.000, 0.500], [0.500, 0.000, 0.000], [0.500, 0.500, 0.500], [0.000, 0.500, 0.000]],
  "space_group": "P4/mmm (123)",
  "delta_e_f_ev_per_atom": 1.595,
  "dos_at_fermi_per_ev_atom": 1.049
}

{
  "formula": "LaCe2ScAs4",
  "functional": "PBE-GGA",
  "state": "optimized geometry",
  "lattice": [[-2.055, -3.293, 1.580], [3.523, -4.381, -4.549], [6.114, -2.316, 3.126]],
  "species": ["Sc", "Ce", "Ce", "La", "As", "As", "As", "As"],
  "fractional_positions": [[0.000, 0.500, 0.500], [0.500, 0.000, 0.500], [0.000, 0.000, 0.000], [0.500, 0.500, 0.000], [0.000, 0.751, 0.736], [0.500, 0.259, 0.734], [0.000, 0.249, 0.264], [0.500, 0.741, 0.266]],
  "space_group": "P2/m (10)",
  "delta_e_f_ev_per_atom": -1.403,
  "dos_at_fermi_per_ev_atom": 1.375
}

{
  "formula": "La8Ni3IrI4",
  "functional": "PBE-GGA",
  "state": "optimized geometry",
  "lattice": [[-1.506, 5.532, -6.193], [-7.642, -5.105, -2.702], [0.107, 2.594, 8.043]],
  "species": ["Ir", "La", "La", "La", "La", "La", "La", "La", "La", "I", "I", "I", "I", "Ni", "Ni", "Ni"],
  "fractional_positions": [[0.000, 0.500, 0.000], [0.728, 0.682, 0.455], [0.229, 0.685, 0.958], [0.772, 0.315, 0.543], [0.228, 0.685, 0.457], [0.272, 0.318, 0.545], [0.771, 0.315, 0.042], [0.729, 0.685, 0.958], [0.271, 0.315, 0.042], [0.000, 0.000, 0.000], [0.500, 0.000, 0.000], [0.500, 0.000, 0.500], [0.000, 0.000, 0.500], [0.500, 0.500, 0.000], [0.000, 0.500, 0.500], [0.500, 0.500, 0.500]],
  "space_group": "C2/m (12)",
  "raw_formation_energy_ev_per_atom": -0.834,
  "dos_at_fermi_per_ev_atom": 0.816
}

{
  "formula": "PrNdHgSb",
  "functional": "PBE-GGA",
  "state": "optimized geometry",
  "lattice": [[-1.763, 3.519, -3.788], [2.344, 0.104, -4.933], [-2.735, -1.826, -4.362]],
  "species": ["Pr", "Nd", "Hg", "Sb"],
  "fractional_positions": [[0.500, 0.500, 0.500], [0.000, 0.000, 0.000], [0.250, 0.250, 0.250], [0.750, 0.750, 0.750]],
  "space_group": "F-43m (216)",
  "raw_formation_energy_ev_per_atom": -0.683,
  "dos_at_fermi_per_ev_atom": 0.797
}

Copy entry 4 word for word.
{
  "formula": "LaCe2ScAs4",
  "functional": "PBE-GGA",
  "state": "optimized geometry",
  "lattice": [[-2.055, -3.293, 1.580], [3.523, -4.381, -4.549], [6.114, -2.316, 3.126]],
  "species": ["Sc", "Ce", "Ce", "La", "As", "As", "As", "As"],
  "fractional_positions": [[0.000, 0.500, 0.500], [0.500, 0.000, 0.500], [0.000, 0.000, 0.000], [0.500, 0.500, 0.000], [0.000, 0.751, 0.736], [0.500, 0.259, 0.734], [0.000, 0.249, 0.264], [0.500, 0.741, 0.266]],
  "space_group": "P2/m (10)",
  "delta_e_f_ev_per_atom": -1.403,
  "dos_at_fermi_per_ev_atom": 1.375
}